A plane-wave DFT calculation with GGA-PBE was carried out for a relaxed KMo3Cl crystal.

a b c (Å): 4.5944 4.5944 4.5944
angles (deg): 90.00 90.00 90.00
Closest atoms and distances in Å follow each position.
Element x y z (fractional)
Mo (0.0000, 0.5000, 0.0000)  2 Cl 2.30
Mo (0.0000, 0.0000, 0.5000)  2 Cl 2.30
Mo (0.5000, 0.0000, 0.0000)  2 Cl 2.30
K (0.5000, 0.5000, 0.5000)  12 Mo 3.25
Cl (0.0000, 0.0000, 0.0000)  6 Mo 2.30

Properties
density of states at the Fermi level = 3.0 states/eV per cell
E_form (uncorrected) = 1.577 eV per atom
excess energy over the best structure of this formula in the dataset = 0 meV/atom
E = -5.511 eV per atom